TbCoO3 | the Open Quantum Materials Database | PBE with a Hubbard U | optimized geometry; symmetry = No. 221; DFT total energy = -5.934 eV/atom; M_tot = 0.802 μB/atom
1.0
4.277 0.000 0.000
0.000 4.277 0.000
0.000 0.000 4.277
Co O Tb
1 3 1
Cartesian
0.000 0.000 0.000 Co
2.138 2.138 0.000 O
2.138 0.000 2.138 O
0.000 2.138 2.138 O
2.138 2.138 2.138 Tb